# 1
{
  "formula": "AcPm3Pa4N12",
  "functional": "GGA-PBE",
  "state": "relaxed",
  "dft_energy_ha_per_atom": -0.3316,
  "dos_ef_per_ev_cell": 20.2,
  "crystal_system": "cubic",
  "spacegroup": "No. 204",
  "lattice": [[7.458, 0.000, 0.000], [-2.486, 7.031, 0.000], [-2.486, -3.516, 6.089]],
  "species": ["N", "N", "N", "N", "N", "N", "N", "N", "N", "N", "N", "N", "Pa", "Pa", "Pa", "Pa", "Pm", "Pm", "Pm", "Ac"],
  "fractional_positions": [[0.490, 0.293, 0.197], [0.803, 0.510, 0.707], [0.293, 0.197, 0.490], [0.197, 0.490, 0.293], [0.096, 0.293, 0.803], [0.510, 0.707, 0.803], [0.707, 0.803, 0.510], [0.803, 0.096, 0.293], [0.904, 0.707, 0.197], [0.707, 0.197, 0.904], [0.293, 0.803, 0.096], [0.197, 0.904, 0.707], [0.000, 0.000, 0.500], [0.000, 0.500, 0.000], [0.500, 0.500, 0.500], [0.500, 0.000, 0.000], [0.500, 0.000, 0.500], [0.000, 0.500, 0.500], [0.500, 0.500, 0.000], [0.000, 0.000, 0.000]]
}

---

# 2
{
  "formula": "YSc2Re",
  "functional": "GGA-PBE",
  "state": "relaxed",
  "de_polymorph_kj_per_mol_fu": 0,
  "dos_ef_per_ev_cell": 5.5,
  "crystal_system": "tetragonal",
  "spacegroup": "No. 123",
  "lattice": [[-0.966, -3.091, 0.581], [2.295, -0.276, 2.341], [-5.587, 2.838, 5.811]],
  "species": ["Y", "Sc", "Sc", "Re"],
  "fractional_positions": [[0.500, 0.500, 0.250], [0.000, 0.000, 0.931], [0.000, 0.000, 0.569], [0.500, 0.500, 0.750]]
}

---

# 3
{
  "formula": "Tc2SbAu",
  "functional": "GGA-PBE",
  "state": "relaxed",
  "dft_energy_ha_per_atom": -0.2512,
  "dos_ef_per_ev_cell": 2.7,
  "crystal_system": "tetragonal",
  "spacegroup": "No. 99",
  "lattice": [[3.013, 0.000, 0.000], [0.000, 3.013, 0.000], [0.000, 0.000, 8.014]],
  "species": ["Sb", "Au", "Tc", "Tc"],
  "fractional_positions": [[0.500, 0.500, 0.781], [0.000, 0.000, 0.469], [0.500, 0.500, 0.216], [0.000, 0.000, 0.034]]
}

---

# 4
{
  "formula": "PuInNiIr",
  "functional": "GGA-PBE",
  "state": "relaxed",
  "dft_energy_ha_per_atom": -0.2992,
  "dos_ef_per_ev_cell": 8.3,
  "crystal_system": "cubic",
  "spacegroup": "No. 216",
  "lattice": [[4.698, 0.000, 0.000], [2.349, 4.069, 0.000], [2.349, 1.356, 3.836]],
  "species": ["Pu", "Ir", "Ni", "In"],
  "fractional_positions": [[0.750, 0.750, 0.750], [0.500, 0.500, 0.500], [0.000, 0.000, 0.000], [0.250, 0.250, 0.250]]
}